1.
The following is a PBE calculation of a relaxed Li2LaGeH crystal, from Alexandria via LeMat-Bulk.

Values from the calculation:
Symmetry   Cmcm, No. 63
Energy relative to the lowest polymorph listed for this composition   0 meV per atom
Total magnetization   0.00 μB per cell
Calculated total energy   -3.850 eV per atom

Lattice parameters (Å, degrees): 5.9359 5.9359 6.9245 90.00 90.00 136.69
Closest atoms and distances in Å follow each position.
Atoms (fractional coordinates):
Li (0.1588, 0.8412, 0.5627)  1 H 1.81
Li (0.1588, 0.8412, 0.9373)  1 H 1.81
Li (0.8412, 0.1588, 0.0627)  1 H 1.81
Li (0.8412, 0.1588, 0.4373)  1 H 1.81
La (0.4251, 0.5749, 0.7500)  4 H 2.91, 3 Ge 3.11-3.26, 6 Li 3.21-3.22
La (0.5749, 0.4251, 0.2500)  4 H 2.91, 3 Ge 3.11-3.26, 6 Li 3.21-3.22
Ge (0.2933, 0.7067, 0.2500)  6 Li 2.60-2.62
Ge (0.7067, 0.2933, 0.7500)  6 Li 2.60-2.62
H (0.0000, 0.0000, 0.0000)  2 Li 1.81
H (0.0000, 0.0000, 0.5000)  2 Li 1.81

---

2.
The following is a PBE calculation of a relaxed LiLa2GeH crystal, from Alexandria via LeMat-Bulk.

Values from the calculation:
Symmetry   P4/mmm, No. 123
Total magnetization   0.00 μB per cell
Calculated total energy   -4.477 eV per atom

Lattice parameters (Å, degrees): 5.0195 5.0195 4.1583 90.00 90.00 90.00
Closest atoms and distances in Å follow each position.
Atoms (fractional coordinates):
Li (0.0000, 0.0000, 0.0000)  2 H 2.08
La (0.0000, 0.5000, 0.5000)  2 H 2.51
La (0.5000, 0.0000, 0.5000)  2 H 2.51
Ge (0.5000, 0.5000, 0.0000)  8 La 3.26, 4 Li 3.55
H (0.0000, 0.0000, 0.5000)  2 Li 2.08